Density functional theory data (PBE) for a relaxed Ho3Zn9Ni2 crystal.

Spin magnetization = 0.0 μB/cell
DFT formation energy = -0.340 eV per atom
D(E_F) = 0.591 states/eV/atom

abc: 4.261 8.996 12.504
angles: 90.00 90.00 90.00
Space group Immm (No. 71)
Unique sites:
Ho 0.000 0.000 0.000 (multiplicity 2)
Ho 0.000 0.000 0.307 (multiplicity 4)
Zn 0.000 0.282 0.125 (multiplicity 8)
Zn 0.000 0.358 0.340 (multiplicity 8)
Zn 0.000 0.500 0.000 (multiplicity 2)
Ni 0.000 0.184 0.500 (multiplicity 4)